# PBE AsP2Ir, optimized geometry
data_AsP2Ir
_chemical_formula_sum 'As2 P4 Ir2'
_cell_length_a 6.4377
_cell_length_b 6.4456
_cell_length_c 2.8933
_cell_angle_alpha 90.00
_cell_angle_beta 90.00
_cell_angle_gamma 90.00
_symmetry_space_group_name_H-M 'C m m m'
_symmetry_Int_Tables_number 65
_symmetry_space_group_name_Hall '-C 2 2'
loop_
_atom_site_label
_atom_site_fract_x
_atom_site_fract_y
_atom_site_fract_z
As1 0.0000 0.0000 0.0000
P1 0.2500 0.2500 0.5000
Ir1 0.0000 0.5000 0.0000
# Calculated total energy (eV per atom): -5.62
# Volume (Å³/atom): 15.01